First-principles (PBE) data for TbSmSbS after structural relaxation, as listed in Alexandria via LeMat-Bulk.

## Properties
For the spin magnetization, the calculation gives 0.45 μB per formula unit. Its density is 7.1 g/cm3. The calculation puts the final energy at -69.7 eV/cell.

a = 4.1048 Å, b = 4.1048 Å, c = 22.2342 Å
α = 90.00°, β = 90.00°, γ = 120.00°
Space group R3m (No. 160, hexagonal axes)
Symmetry-distinct sites (fractional):
Tb: 0.0000 0.0000 0.0000 x3
Sm: 0.0000 0.0000 0.8383 x3
Sb: 0.0000 0.0000 0.4169 x3
S: 0.0000 0.0000 0.5899 x3

First-principles (PBE) data for Ac4Sn8Rh after structural relaxation, as listed in Alexandria via LeMat-Bulk.

## Properties
For the spin magnetization, the calculation gives 0.00 μB per formula unit. Its density is 8.1 g/cm3. The formation enthalpy at 0 K comes out at -59.85 kJ per mole of atoms.

a = 4.6205 Å, b = 4.7380 Å, c = 18.3127 Å
α = 90.00°, β = 90.00°, γ = 90.00°
Space group Pmm2 (No. 25)
Symmetry-distinct sites (fractional):
Ac: 0.0000 0.0000 0.0000 x1
Ac: 0.0000 0.5000 0.4958 x1
Ac: 0.5000 0.0000 0.2052 x1
Ac: 0.5000 0.5000 0.7094 x1
Sn: 0.0000 0.0000 0.3429 x1
Sn: 0.0000 0.0000 0.6611 x1
Sn: 0.0000 0.5000 0.1559 x1
Sn: 0.0000 0.5000 0.8581 x1
Sn: 0.5000 0.0000 0.5588 x1
Sn: 0.5000 0.0000 0.8512 x1
Sn: 0.5000 0.5000 0.0486 x1
Sn: 0.5000 0.5000 0.3423 x1
Rh: 0.5000 0.0000 0.4147 x1

First-principles (PBE) data for SrPtW after structural relaxation, as listed in Alexandria via LeMat-Bulk.

## Properties
For the spin magnetization, the calculation gives 0.00 μB per formula unit. Its density is 10.6 g/cm3. The formation enthalpy at 0 K comes out at 87.41 kJ per mole of atoms.

a = 6.6443 Å, b = 6.6443 Å, c = 6.6443 Å
α = 90.00°, β = 90.00°, γ = 90.00°
Space group F-43m (No. 216)
Symmetry-distinct sites (fractional):
Sr: 0.0000 0.0000 0.0000 x4
Pt: 0.2500 0.2500 0.2500 x4
W: 0.0000 0.0000 0.5000 x4

First-principles (PBE) data for SrAcNdCd after structural relaxation, as listed in Alexandria via LeMat-Bulk.

## Properties
For the spin magnetization, the calculation gives 0.00 μB per formula unit. Its density is 6.3 g/cm3. The formation enthalpy at 0 K comes out at -12.79 kJ per mole of atoms.

a = 3.9041 Å, b = 3.9041 Å, c = 9.9303 Å
α = 90.00°, β = 90.00°, γ = 90.00°
Space group P4mm (No. 99)
Symmetry-distinct sites (fractional):
Sr: 0.0000 0.0000 0.0000 x1
Ac: 0.5000 0.5000 0.3276 x1
Nd: 0.0000 0.0000 0.5914 x1
Cd: 0.5000 0.5000 0.7790 x1

First-principles (PBE) data for TcNi2P after structural relaxation, as listed in Alexandria via LeMat-Bulk.

## Properties
For the spin magnetization, the calculation gives 0.00 μB per formula unit. Its density is 8.6 g/cm3. The formation enthalpy at 0 K comes out at -0.15 kJ per mole of atoms.

a = 3.5276 Å, b = 3.5276 Å, c = 7.6845 Å
α = 90.00°, β = 90.00°, γ = 90.00°
Space group I4/mmm (No. 139)
Symmetry-distinct sites (fractional):
Tc: 0.0000 0.0000 0.0000 x2
Ni: 0.0000 0.5000 0.2500 x4
P: 0.0000 0.0000 0.5000 x2

First-principles (PBE) data for Na4Sc3TiO8 after structural relaxation, as listed in Alexandria via LeMat-Bulk.

## Properties
For the spin magnetization, the calculation gives 1.01 μB per formula unit. Its density is 3.5 g/cm3. The calculation puts the final energy at -346.2 eV/cell.

a = 6.3049 Å, b = 6.3049 Å, c = 16.4172 Å
α = 90.00°, β = 90.00°, γ = 120.00°
Space group R-3m (No. 166, hexagonal axes)
Symmetry-distinct sites (fractional):
Na: 0.0000 0.0000 0.0000 x3
Na: 0.0000 0.5000 0.0000 x9
Sc: 0.0000 0.5000 0.5000 x9
Ti: 0.0000 0.0000 0.5000 x3
O: 0.0000 0.0000 0.2349 x6
O: 0.0065 0.5033 0.2344 x18

First-principles (PBE) data for TbTm3As4 after structural relaxation, as listed in Alexandria via LeMat-Bulk.

## Properties
For the spin magnetization, the calculation gives 0.00 μB per formula unit. Its density is 8.3 g/cm3. The formation enthalpy at 0 K comes out at -146.18 kJ per mole of atoms.

a = 5.7702 Å, b = 5.7702 Å, c = 5.7702 Å
α = 90.00°, β = 90.00°, γ = 90.00°
Space group Pm-3m (No. 221)
Symmetry-distinct sites (fractional):
Tb: 0.0000 0.0000 0.0000 x1
Tm: 0.0000 0.5000 0.5000 x3
As: 0.0000 0.0000 0.5000 x3
As: 0.5000 0.5000 0.5000 x1

First-principles (PBE) data for Al2RhPb2 after structural relaxation, as listed in Alexandria via LeMat-Bulk.

## Properties
For the spin magnetization, the calculation gives 0.00 μB per formula unit. Its density is 7.8 g/cm3. The formation enthalpy at 0 K comes out at 67.39 kJ per mole of atoms.

a = 4.2204 Å, b = 4.2204 Å, c = 13.6159 Å
α = 90.00°, β = 90.00°, γ = 90.00°
Space group I4/mmm (No. 139)
Symmetry-distinct sites (fractional):
Al: 0.0000 0.0000 0.0892 x4
Rh: 0.0000 0.0000 0.5000 x2
Pb: 0.0000 0.5000 0.2500 x4

First-principles (PBE) data for ThAl3Si3 after structural relaxation, as listed in Alexandria via LeMat-Bulk.

## Properties
For the spin magnetization, the calculation gives 0.00 μB per formula unit. Its density is 4.2 g/cm3. The calculation puts the final energy at -65.6 eV/cell.

a = 6.8136 Å, b = 6.8136 Å, c = 6.8136 Å
α = 90.00°, β = 90.00°, γ = 90.00°
Space group Pm-3n (No. 223)
Symmetry-distinct sites (fractional):
Th: 0.0000 0.0000 0.0000 x2
Al: 0.0000 0.2500 0.5000 x6
Si: 0.0000 0.5000 0.2500 x6

First-principles (PBE) data for SnPH6CBr3 after structural relaxation, as listed in Alexandria via LeMat-Bulk.

## Properties
For the spin magnetization, the calculation gives 0.00 μB per formula unit. Its density is 2.8 g/cm3. The calculation puts the final energy at -48.4 eV/cell.

a = 6.1977 Å, b = 6.2240 Å, c = 6.2670 Å
α = 89.33°, β = 82.64°, γ = 89.65°
Space group P1 (No. 1)
Symmetry-distinct sites (fractional):
Sn: 0.0000 0.0000 0.0000 x1
P: 0.3998 0.5163 0.4018 x1
H: 0.1847 0.5154 0.5033 x1
H: 0.4308 0.3345 0.2677 x1
H: 0.4309 0.7021 0.2694 x1
H: 0.5611 0.6546 0.6987 x1
H: 0.5631 0.3652 0.6965 x1
H: 0.7532 0.5136 0.5108 x1
C: 0.5875 0.5118 0.5971 x1
Br: 0.0096 0.5562 0.0361 x1
Br: 0.0750 0.0115 0.5641 x1
Br: 0.5493 0.0145 0.0067 x1

First-principles (PBE) data for AcPrInAu after structural relaxation, as listed in Alexandria via LeMat-Bulk.

## Properties
For the spin magnetization, the calculation gives 0.27 μB per formula unit. Its density is 9.3 g/cm3. The formation enthalpy at 0 K comes out at -51.36 kJ per mole of atoms.

a = 7.8708 Å, b = 7.8708 Å, c = 7.8708 Å
α = 90.00°, β = 90.00°, γ = 90.00°
Space group F-43m (No. 216)
Symmetry-distinct sites (fractional):
Ac: 0.0000 0.0000 0.0000 x4
Pr: 0.0000 0.0000 0.5000 x4
In: 0.2500 0.2500 0.7500 x4
Au: 0.2500 0.2500 0.2500 x4

First-principles (PBE) data for FeAg2Ir after structural relaxation, as listed in Alexandria via LeMat-Bulk.

## Properties
For the spin magnetization, the calculation gives 2.99 μB per formula unit. Its density is 12.3 g/cm3. The formation enthalpy at 0 K comes out at 20.04 kJ per mole of atoms.

a = 2.8168 Å, b = 2.8168 Å, c = 7.8840 Å
α = 90.00°, β = 90.00°, γ = 90.00°
Space group P4mm (No. 99)
Symmetry-distinct sites (fractional):
Fe: 0.0000 0.0000 0.0000 x1
Ag: 0.0000 0.0000 0.5312 x1
Ag: 0.5000 0.5000 0.2533 x1
Ir: 0.5000 0.5000 0.8033 x1